HfSnRuS2 | the Alexandria database | PBE | relaxed; formation energy without anion corrections = 149 meV per atom
1.0
4.887 0.000 0.000
0.000 4.887 0.000
0.000 0.000 5.145
Hf Sn Ru S
1 1 1 2
direct
0.000 0.000 0.000 Hf
0.500 0.500 0.500 Sn
0.000 0.000 0.500 Ru
0.000 0.500 0.000 S
0.500 0.000 0.000 S